First-principles (PBE-GGA) data for crystalline LiCa2F6 at its relaxed geometry, as listed in the Alexandria database.

abc: 5.271 6.222 8.375
angles: 90.00 122.91 90.00
Atoms (fractional coordinates):
Li (0.000, 0.000, 0.000)
Li (0.000, 0.500, 0.500)
Ca (0.290, 0.121, 0.752)
Ca (0.290, 0.379, 0.252)
Ca (0.710, 0.621, 0.748)
Ca (0.710, 0.879, 0.248)
F (0.110, 0.041, 0.259)
F (0.110, 0.459, 0.759)
F (0.208, 0.694, 0.058)
F (0.208, 0.806, 0.558)
F (0.371, 0.144, 0.064)
F (0.371, 0.356, 0.564)
F (0.629, 0.644, 0.436)
F (0.629, 0.856, 0.936)
F (0.792, 0.194, 0.442)
F (0.792, 0.306, 0.942)
F (0.890, 0.541, 0.241)
F (0.890, 0.959, 0.741)

Formation energy (no corrections): -3186.7 meV per atom
Magnetization: 2.06 μB per cell
VASP energy: -91.651 eV/cell
Density of states at the Fermi level: 12.74 states/eV per cell